Run w
{"formula": "KSb2Ru", "functional": "meta-GGA SCAN", "state": "PBEsol geometry", "cell": [[3.264, 0.000, 0.000], [0.000, 3.264, 0.000], [0.000, 0.000, 8.609]], "species": ["K", "Sb", "Sb", "Ru"], "frac_coords": [[0.000, 0.000, 0.000], [0.500, 0.500, 0.315], [0.500, 0.500, 0.685], [0.000, 0.000, 0.500]], "magnetic_moment_mub_per_fu": 0.86, "n_ef_per_ev_atom": 0.30, "vol_a3_per_cell": 91.7}

Run x
{"formula": "KSb2Ru", "functional": "meta-GGA SCAN", "state": "PBEsol geometry", "cell": [[0.000, 3.455, 3.455], [3.455, 0.000, 3.455], [3.455, 3.455, 0.000]], "species": ["K", "Sb", "Sb", "Ru"], "frac_coords": [[0.000, 0.000, 0.000], [0.250, 0.250, 0.250], [0.750, 0.750, 0.750], [0.500, 0.500, 0.500]], "magnetic_moment_mub_per_fu": 0.00, "n_ef_per_ev_atom": 0.47, "vol_a3_per_cell": 82.5}

Which structure is most stable, and how do the rest compare? From most to least stable: run w, run x.